[1]
# CaMo2Au (GGA-PBE, relaxed)
data_CaMo2Au
_chemical_formula_sum 'Ca3 Mo6 Au3'
_cell_length_a 3.2907
_cell_length_b 3.2907
_cell_length_c 26.5869
_cell_angle_alpha 90.00
_cell_angle_beta 90.00
_cell_angle_gamma 120.00
_symmetry_space_group_name_H-M 'R 3 m'
_symmetry_Int_Tables_number 160
_symmetry_space_group_name_Hall 'R 3 -2"'
loop_
_atom_site_label
_atom_site_type_symbol
_atom_site_fract_x
_atom_site_fract_y
_atom_site_fract_z
Ca1 Ca 0.0000 0.0000 0.0000
Mo1 Mo 0.0000 0.0000 0.4956
Mo2 Mo 0.0000 0.0000 0.7683
Au1 Au 0.0000 0.0000 0.2447
# Formation enthalpy at 0 K, eV per formula unit: 1.29

[2]
# CaMo2Au (GGA-PBE, relaxed)
data_CaMo2Au
_chemical_formula_sum 'Ca2 Mo4 Au2'
_cell_length_a 3.6823
_cell_length_b 4.0972
_cell_length_c 9.7599
_cell_angle_alpha 90.00
_cell_angle_beta 90.00
_cell_angle_gamma 90.00
_symmetry_space_group_name_H-M 'C m m m'
_symmetry_Int_Tables_number 65
_symmetry_space_group_name_Hall '-C 2 2'
loop_
_atom_site_label
_atom_site_type_symbol
_atom_site_fract_x
_atom_site_fract_y
_atom_site_fract_z
Ca1 Ca 0.0000 0.0000 0.0000
Mo1 Mo 0.0000 0.5000 0.2706
Au1 Au 0.0000 0.0000 0.5000
# Formation enthalpy at 0 K, eV per formula unit: 2.31

Ordered energy relative to the lowest polymorph listed for this composition results: 164, 419; unit meV per atom.